# 1
Density functional theory data (PBE-GGA) for crystalline In4TcCl at its relaxed geometry.

abc: 8.444 8.444 8.444
angles: 90.00 90.00 90.00
Space group F-43m (No. 216)
One atom of each set of equivalent atoms:
In1 0.124 0.124 0.124
Tc1 0.250 0.250 0.750
Cl1 0.000 0.000 0.500

Output
Formation energy from raw total energies, meV per atom: 537



# 2
Density functional theory data (PBE-GGA) for crystalline In2TcCl2 at its relaxed geometry.

abc: 5.328 5.328 12.156
angles: 90.00 90.00 90.00
Space group I4/mmm (No. 139)
One atom of each set of equivalent atoms:
In1 0.000 0.500 0.250
Tc1 0.000 0.000 0.000
Cl1 0.000 0.000 0.367

Output
Formation energy from raw total energies, meV per atom: 679



# 3
Density functional theory data (PBE-GGA) for crystalline Ti2InTcCl at its relaxed geometry.

abc: 5.277 5.277 5.105
angles: 90.00 90.00 90.00
Space group P4/mmm (No. 123)
One atom of each set of equivalent atoms:
Ti1 0.000 0.500 0.000
In1 0.000 0.000 0.000
Tc1 0.500 0.500 0.500
Cl1 0.000 0.000 0.500

Output
Formation energy from raw total energies, meV per atom: 1630



# 4
Density functional theory data (PBE-GGA) for crystalline InTeCl2 at its relaxed geometry.

abc: 7.716 7.716 7.716
angles: 90.00 90.00 90.00
Space group Fm-3m (No. 225)
One atom of each set of equivalent atoms:
In1 0.000 0.000 0.000
Te1 0.000 0.000 0.500
Cl1 0.250 0.250 0.250

Output
Formation energy from raw total energies, meV per atom: -61
Energy relative to the lowest polymorph listed for this composition, meV per atom: 602



# 5
Density functional theory data (PBE-GGA) for crystalline InTeCl2 at its relaxed geometry.

abc: 4.402 6.020 5.053
angles: 90.00 104.70 90.00
Space group Pm (No. 6)
One atom of each set of equivalent atoms:
In1 0.000 0.000 0.000
Te1 0.042 0.500 0.083
Cl1 0.392 0.000 0.660
Cl2 0.870 0.500 0.560

Output
Formation energy from raw total energies, meV per atom: -460
Energy relative to the lowest polymorph listed for this composition, meV per atom: 203



# 6
Density functional theory data (PBE-GGA) for crystalline In4Te3Cl at its relaxed geometry.

abc: 4.164 7.399 16.860
angles: 90.00 90.00 90.00
Space group Imm2 (No. 44)
One atom of each set of equivalent atoms:
In1 0.000 0.234 0.000
In2 0.000 0.239 0.260
Te1 0.000 0.000 0.411
Te2 0.000 0.000 0.823
Te3 0.000 0.500 0.676
Cl1 0.000 0.500 0.129

Output
Formation energy from raw total energies, meV per atom: -362